{
  "formula": "Be2InTe",
  "functional": "PBE",
  "state": "optimized geometry",
  "e_above_lowest_polymorph_mev_per_atom": 350,
  "e_form_raw_ev_per_atom": 0.657,
  "lattice_angstrom": [[1.793, -3.153, 0.000], [1.793, 3.153, 0.000], [0.000, 0.000, 7.496]],
  "species": ["Be", "Be", "In", "Te"],
  "fractional_positions": [[0.000, 0.000, 0.231], [0.000, 0.000, 0.769], [0.500, 0.500, 0.500], [0.500, 0.500, 0.000]]
}